DFT (GGA+U) results for TlV2PO8 after structural relaxation.

Properties
Calculated volume: 185 Å³/f.u.
Total DFT energy (no corrections): -6.91 eV/atom
Space-group type: C2/m
Theoretical density: 4174 kg/m³

a = 5.0776 Å, b = 5.0776 Å, c = 8.0531 Å
α = 87.26°, β = 87.26°, γ = 63.24°
With the nearest neighbours (Å) after each atom.
Fractional coordinates of all 12 atoms:
Tl 0.0000 0.0000 0.5000  10 O 3.00-3.20
V 0.6382 0.6382 0.1822  4 O 1.65-1.80
V 0.3618 0.3618 0.8178  4 O 1.65-1.80
P 0.0000 0.0000 0.0000  6 O 1.71
O 0.7516 0.1988 0.8515  1 P 1.71, 1 V 1.80
O 0.8054 0.8054 0.0502  1 P 1.71, 1 V 1.75
O 0.6781 0.6781 0.3804  1 V 1.65
O 0.3219 0.3219 0.6196  1 V 1.65
O 0.1946 0.1946 0.9498  1 P 1.71, 1 V 1.75
O 0.1988 0.7516 0.8515  1 P 1.71, 1 V 1.80
O 0.8012 0.2484 0.1485  1 P 1.71, 1 V 1.80
O 0.2484 0.8012 0.1485  1 P 1.71, 1 V 1.80